(1)
This record from Alexandria describes a relaxed structure of Dy2Al5Cu. The functional is PBE.

a = 5.987 Å, b = 5.987 Å, c = 5.987 Å
α = 120.03°, β = 120.03°, γ = 89.96°
Positions (direct):
Dy 0.000 0.500 0.500
Dy 0.500 0.000 0.500
Al 0.000 0.000 0.000
Al 0.000 0.000 0.500
Al 0.000 0.500 0.000
Al 0.500 0.000 0.000
Al 0.500 0.500 0.500
Cu 0.499 0.499 0.000

Computed properties:
- Crystal system: tetragonal
- Final energy: -4.359 eV/atom
- DFT formation energy: -0.36 eV/atom

***

(2)
This record from Alexandria describes a relaxed structure of Y2OsPb. The functional is PBE.

a = 3.419 Å, b = 3.419 Å, c = 8.398 Å
α = 90.00°, β = 90.00°, γ = 90.00°
Positions (direct):
Y 0.000 0.000 0.200
Y 0.000 0.000 0.800
Os 0.500 0.500 0.000
Pb 0.500 0.500 0.500

Computed properties:
- Crystal system: tetragonal
- Final energy: -7.325 eV/atom
- DFT formation energy: -0.36 eV/atom

***

(3)
This record from Alexandria describes a relaxed structure of KAuSe2N. The functional is PBE.

a = 5.933 Å, b = 5.933 Å, c = 4.918 Å
α = 90.00°, β = 90.00°, γ = 90.00°
Positions (direct):
K 0.000 0.000 0.000
Au 0.500 0.500 0.500
Se 0.000 0.500 0.000
Se 0.500 0.000 0.000
N 0.000 0.000 0.500

Computed properties:
- Crystal system: tetragonal
- Excess energy over the best structure of this formula in the dataset: 1204 meV per atom
- Final energy: -2.200 eV/atom

***

(4)
This record from Alexandria describes a relaxed structure of ScSiIr. The functional is PBE.

a = 4.206 Å, b = 4.206 Å, c = 4.206 Å
α = 60.00°, β = 60.00°, γ = 60.00°
Positions (direct):
Sc 0.000 0.000 0.000
Si 0.750 0.750 0.750
Ir 0.500 0.500 0.500

Computed properties:
- Crystal system: cubic
- Final energy: -7.428 eV/atom

***

(5)
This record from Alexandria describes a relaxed structure of SmHo7Tm2. The functional is PBE.

a = 6.098 Å, b = 7.053 Å, c = 7.881 Å
α = 102.91°, β = 97.35°, γ = 106.73°
Positions (direct):
Sm 0.000 0.000 0.000
Ho 0.000 0.500 0.000
Ho 0.200 0.900 0.400
Ho 0.201 0.400 0.400
Ho 0.399 0.799 0.799
Ho 0.601 0.201 0.201
Ho 0.799 0.600 0.600
Ho 0.800 0.100 0.600
Tm 0.401 0.300 0.799
Tm 0.599 0.700 0.201

Computed properties:
- Crystal system: triclinic
- Excess energy over the best structure of this formula in the dataset: 0 meV per atom
- Final energy: -4.548 eV/atom
- DFT formation energy: 0.02 eV/atom

***

(6)
This record from Alexandria describes a relaxed structure of VSnMo. The functional is PBE.

a = 6.282 Å, b = 6.282 Å, c = 6.282 Å
α = 43.91°, β = 43.91°, γ = 43.91°
Positions (direct):
V 0.078 0.078 0.078
V 0.922 0.922 0.922
Sn 0.395 0.395 0.395
Sn 0.605 0.605 0.605
Mo 0.213 0.213 0.213
Mo 0.787 0.787 0.787

Computed properties:
- Crystal system: trigonal
- Excess energy over the best structure of this formula in the dataset: 269 meV per atom
- Final energy: -7.708 eV/atom
- DFT formation energy: 0.28 eV/atom

***

(7)
This record from Alexandria describes a relaxed structure of Mg2ZrRu. The functional is PBE.

a = 3.110 Å, b = 3.110 Å, c = 7.736 Å
α = 90.00°, β = 90.00°, γ = 90.00°
Positions (direct):
Mg 0.000 0.000 0.202
Mg 0.000 0.000 0.798
Zr 0.500 0.500 0.500
Ru 0.500 0.500 0.000

Computed properties:
- Crystal system: tetragonal
- Excess energy over the best structure of this formula in the dataset: 321 meV per atom
- Final energy: -5.128 eV/atom
- DFT formation energy: 0.13 eV/atom

***

(8)
This record from Alexandria describes a relaxed structure of Li3ZrBi. The functional is PBE.

a = 5.002 Å, b = 5.002 Å, c = 5.002 Å
α = 90.00°, β = 90.00°, γ = 90.00°
Positions (direct):
Li 0.000 0.000 0.500
Li 0.000 0.500 0.000
Li 0.500 0.000 0.000
Zr 0.500 0.500 0.500
Bi 0.000 0.000 0.000

Computed properties:
- Crystal system: cubic
- Excess energy over the best structure of this formula in the dataset: 0 meV per atom
- Final energy: -3.137 eV/atom
- DFT formation energy: 0.50 eV/atom

***

(9)
This record from Alexandria describes a relaxed structure of CeTm3Ru4. The functional is PBE.

a = 8.193 Å, b = 8.193 Å, c = 8.193 Å
α = 34.08°, β = 34.08°, γ = 34.08°
Positions (direct):
Ce 0.000 0.000 0.000
Tm 0.247 0.247 0.247
Tm 0.500 0.500 0.500
Tm 0.753 0.753 0.753
Ru 0.121 0.121 0.121
Ru 0.373 0.373 0.373
Ru 0.627 0.627 0.627
Ru 0.879 0.879 0.879

Computed properties:
- Crystal system: trigonal
- Final energy: -7.517 eV/atom
- DFT formation energy: -0.46 eV/atom

***

(10)
This record from Alexandria describes a relaxed structure of CsSmCdO3. The functional is PBE.

a = 7.374 Å, b = 3.726 Å, c = 10.028 Å
α = 90.00°, β = 109.98°, γ = 90.00°
Positions (direct):
Cs 0.153 0.250 0.194
Cs 0.847 0.750 0.806
Sm 0.373 0.250 0.848
Sm 0.627 0.750 0.152
Cd 0.176 0.750 0.555
Cd 0.824 0.250 0.445
O 0.050 0.250 0.650
O 0.324 0.750 0.983
O 0.441 0.750 0.723
O 0.559 0.250 0.277
O 0.676 0.250 0.017
O 0.950 0.750 0.350

Computed properties:
- Crystal system: monoclinic
- Final energy: -5.567 eV/atom

***

(11)
This record from Alexandria describes a relaxed structure of K2BeFeBr. The functional is PBE.

a = 6.414 Å, b = 6.414 Å, c = 4.763 Å
α = 90.00°, β = 90.00°, γ = 90.00°
Positions (direct):
K 0.000 0.500 0.000
K 0.500 0.000 0.000
Be 0.000 0.000 0.000
Fe 0.500 0.500 0.500
Br 0.000 0.000 0.500

Computed properties:
- Crystal system: tetragonal
- Final energy: -2.389 eV/atom

***

(12)
This record from Alexandria describes a relaxed structure of Zr2CrHgRh. The functional is PBE.

a = 5.064 Å, b = 5.064 Å, c = 4.435 Å
α = 90.00°, β = 90.00°, γ = 90.00°
Positions (direct):
Zr 0.000 0.500 0.000
Zr 0.500 0.000 0.000
Cr 0.000 0.000 0.500
Hg 0.500 0.500 0.500
Rh 0.000 0.000 0.000

Computed properties:
- Crystal system: tetragonal
- Final energy: -6.334 eV/atom
- DFT formation energy: 0.54 eV/atom